(1)
# Tb2BiPd

Crystalline Tb2BiPd at its relaxed geometry (PBE-GGA, the Alexandria database).

energy above the lowest structure with this stoichiometry	0.107	eV/atom
DFT formation energy	-0.70	eV/atom
calculated total energy	-5.28	eV/atom
ρ	10.24	g/cm³

Unit cell a=3.6901 b=3.6901 c=7.5397 alpha=90.00 beta=90.00 gamma=90.00
Space group P4/mmm (No. 123)
Unique sites:
1 Tb 0.0000 0.0000 0.2207 (multiplicity 2)
2 Bi 0.5000 0.5000 0.5000 (multiplicity 1)
3 Pd 0.5000 0.5000 0.0000 (multiplicity 1)

---

(2)
# KRePt

Crystalline KRePt at its relaxed geometry (PBE-GGA, the Alexandria database).

energy above the lowest structure with this stoichiometry	0.112	eV/atom
DFT formation energy	0.34	eV/atom
calculated total energy	-6.19	eV/atom
ρ	9.44	g/cm³

Unit cell a=2.7565 b=6.1427 c=8.9031 alpha=82.89 beta=88.73 gamma=81.53
Space group P1 (No. 1)
Unique sites:
1 K 0.0000 0.0000 0.0000 (multiplicity 1)
2 K 0.0656 0.5484 0.6361 (multiplicity 1)
3 Re 0.0169 0.0804 0.3979 (multiplicity 1)
4 Re 0.2235 0.3929 0.2420 (multiplicity 1)
5 Pt 0.5052 0.0493 0.6501 (multiplicity 1)
6 Pt 0.6122 0.7455 0.3045 (multiplicity 1)

---

(3)
# CrCuN

Crystalline CrCuN at its relaxed geometry (PBE-GGA, the Alexandria database).

uncorrected formation energy	-11	meV per atom
calculated total energy	-7.36	eV/atom
ρ	6.64	g/cm³

Unit cell a=3.7881 b=3.7881 c=4.5165 alpha=90.00 beta=90.00 gamma=90.00
Space group P4/nmm (No. 129, origin choice 2)
Unique sites:
1 Cr 0.2500 0.7500 0.0000 (multiplicity 2)
2 Cu 0.2500 0.2500 0.4817 (multiplicity 2)
3 N 0.2500 0.2500 0.9084 (multiplicity 2)

---

Q: Look up the ρ of the third one.
A: 6.64 g/cm³